Material: Be2NbRe
Method: DFT, PBE
State: optimized geometry Values from VASP.

```
&SYSTEM
  ibrav = 0, nat = 8, ntyp = 3
/
ATOMIC_SPECIES
Re 186.21 Re.upf
Nb 92.91 Nb.upf
Be 9.01 Be.upf
CELL_PARAMETERS angstrom
3.682 0.000 0.000
0.000 3.682 0.000
1.841 1.841 8.599
ATOMIC_POSITIONS crystal
Re 0.000 0.000 0.000
Re 0.750 0.250 0.500
Nb 0.500 0.500 0.000
Nb 0.250 0.750 0.500
Be 0.686 0.125 0.250
Be 0.064 0.625 0.250
Be 0.375 0.314 0.750
Be 0.875 0.936 0.750
```

Properties
Energy relative to the lowest polymorph listed for this composition in meV per atom: 903.6
N(E_F) in states/eV/cell: 3.4
Magnetic moment in μB per atom: 0.00